Entry 1:
Entry from OQMD via LeMat-Bulk: a geometry-optimized CdGa2Se2S2 structure (GGA-PBE).

Values from the calculation:
Calculated total energy = -53.55 eV for the cell shown

Cell and atoms, written as CIF:
```
data_CdGa2Se2S2
_space_group_name_H-M_alt 'C 1 2 1'
_space_group_IT_number 5
_cell_length_a 7.993
_cell_length_b 10.642
_cell_length_c 5.678
_cell_angle_alpha 90.00
_cell_angle_beta 133.50
_cell_angle_gamma 90.00
loop_
_space_group_symop_operation_xyz
'x,y,z'
'-x,y,-z'
'x+1/2,y+1/2,z'
'-x+1/2,y+1/2,-z'
loop_
_atom_site_label
_atom_site_type_symbol
_atom_site_fract_x
_atom_site_fract_y
_atom_site_fract_z
Cd1 Cd 0.000 0.000 0.000
Ga1 Ga 0.000 0.258 0.500
Ga2 Ga 0.000 0.500 0.000
Se1 Se 0.221 0.642 0.467
S1 S 0.222 0.368 0.985
```

Entry 2:
Entry from OQMD via LeMat-Bulk: a geometry-optimized Cd2GaSeS2 structure (GGA-PBE).

Values from the calculation:
Calculated total energy = -78.46 eV for the cell shown

Cell and atoms, written as CIF:
```
data_Cd2GaSeS2
_space_group_name_H-M_alt 'C 1 c 1'
_space_group_IT_number 9
_cell_length_a 7.118
_cell_length_b 12.489
_cell_length_c 7.598
_cell_angle_alpha 90.00
_cell_angle_beta 111.41
_cell_angle_gamma 90.00
loop_
_space_group_symop_operation_xyz
'x,y,z'
'x,-y,z+1/2'
'x+1/2,y+1/2,z'
'x+1/2,-y+1/2,z+1/2'
loop_
_atom_site_label
_atom_site_type_symbol
_atom_site_fract_x
_atom_site_fract_y
_atom_site_fract_z
Cd1 Cd 0.000 0.072 0.000
Cd2 Cd 0.483 0.246 0.992
Ga1 Ga 0.496 0.103 0.505
Se1 Se 0.093 0.436 0.367
S1 S 0.095 0.241 0.855
S2 S 0.127 0.092 0.366
```

Entry 3:
Entry from OQMD via LeMat-Bulk: a geometry-optimized CdGa2Se2S2 structure (GGA-PBE).

Values from the calculation:
Calculated total energy = -26.77 eV for the cell shown

Cell and atoms, written as CIF:
```
data_CdGa2Se2S2
_space_group_name_H-M_alt 'P 1'
_space_group_IT_number 1
_cell_length_a 5.744
_cell_length_b 5.754
_cell_length_c 6.620
_cell_angle_alpha 114.59
_cell_angle_beta 115.22
_cell_angle_gamma 90.06
loop_
_space_group_symop_operation_xyz
'x,y,z'
loop_
_atom_site_label
_atom_site_type_symbol
_atom_site_fract_x
_atom_site_fract_y
_atom_site_fract_z
Cd1 Cd 0.000 0.000 0.000
Ga1 Ga 0.261 0.756 0.499
Ga2 Ga 0.499 0.516 0.999
Se1 Se 0.123 0.143 0.716
Se2 Se 0.869 0.409 0.282
S1 S 0.400 0.866 0.264
S2 S 0.598 0.613 0.734
```

Entry 4:
Entry from OQMD via LeMat-Bulk: a geometry-optimized Cd2GaSe2S structure (GGA-PBE).

Values from the calculation:
Calculated total energy = -75.78 eV for the cell shown

Cell and atoms, written as CIF:
```
data_Cd2GaSe2S
_space_group_name_H-M_alt 'C 1 c 1'
_space_group_IT_number 9
_cell_length_a 7.253
_cell_length_b 12.703
_cell_length_c 7.698
_cell_angle_alpha 90.00
_cell_angle_beta 111.22
_cell_angle_gamma 90.00
loop_
_space_group_symop_operation_xyz
'x,y,z'
'x,-y,z+1/2'
'x+1/2,y+1/2,z'
'x+1/2,-y+1/2,z+1/2'
loop_
_atom_site_label
_atom_site_type_symbol
_atom_site_fract_x
_atom_site_fract_y
_atom_site_fract_z
Cd1 Cd 0.000 0.065 0.000
Cd2 Cd 0.014 0.256 0.530
Ga1 Ga 0.006 0.400 0.001
Se1 Se 0.402 0.061 0.141
Se2 Se 0.408 0.262 0.658
S1 S 0.369 0.408 0.140
```

Entry 5:
Entry from OQMD via LeMat-Bulk: a geometry-optimized CdGa2Te3S structure (GGA-PBE).

Values from the calculation:
Calculated total energy = -23.60 eV for the cell shown

Cell and atoms, written as CIF:
```
data_CdGa2Te3S
_space_group_name_H-M_alt 'P 1'
_space_group_IT_number 1
_cell_length_a 6.065
_cell_length_b 6.147
_cell_length_c 7.123
_cell_angle_alpha 115.17
_cell_angle_beta 112.74
_cell_angle_gamma 91.90
loop_
_space_group_symop_operation_xyz
'x,y,z'
loop_
_atom_site_label
_atom_site_type_symbol
_atom_site_fract_x
_atom_site_fract_y
_atom_site_fract_z
Cd1 Cd 0.000 0.000 0.000
Ga1 Ga 0.527 0.527 0.997
Ga2 Ga 0.755 0.289 0.521
Te1 Te 0.144 0.138 0.719
Te2 Te 0.398 0.878 0.285
Te3 Te 0.906 0.441 0.284
S1 S 0.631 0.614 0.749
```

Entry 6:
Entry from OQMD via LeMat-Bulk: a geometry-optimized CdGaSb structure (GGA-PBE).

Values from the calculation:
Calculated total energy = -31.68 eV for the cell shown

Cell and atoms, written as CIF:
```
data_CdGaSb
_space_group_name_H-M_alt 'F -4 3 m'
_space_group_IT_number 216
_space_group_name_Hall 'F -4 2 3'
_cell_length_a 6.980
_cell_length_b 6.980
_cell_length_c 6.980
_cell_angle_alpha 90.00
_cell_angle_beta 90.00
_cell_angle_gamma 90.00
loop_
_atom_site_label
_atom_site_type_symbol
_atom_site_fract_x
_atom_site_fract_y
_atom_site_fract_z
Cd1 Cd 0.000 0.000 0.000
Ga1 Ga 0.000 0.000 0.500
Sb1 Sb 0.250 0.250 0.250
```